i | The following is a PBE-GGA calculation of MgIn2Se after structural relaxation, from the Alexandria database.

Computed properties:
ρ (Mg/m³): 5.36
Magnetic moment (μB/atom): 0.000

a = 3.8669 Å, b = 3.8669 Å, c = 23.9012 Å
α = 90.00°, β = 90.00°, γ = 120.00°
Space group R3m (No. 160, hexagonal axes)
One atom of each set of equivalent atoms:
Mg1 0.0000 0.0000 0.0000 x3
In1 0.0000 0.0000 0.2398 x3
In2 0.0000 0.0000 0.4780 x3
Se1 0.0000 0.0000 0.7260 x3

***

ii | The following is a PBE-GGA calculation of MgIn2Se after structural relaxation, from the Alexandria database.

Computed properties:
ρ (Mg/m³): 5.41
Magnetic moment (μB/atom): 0.000

a = 4.129 Å, b = 5.966 Å, c = 4.152 Å
α = 90.00°, β = 90.72°, γ = 90.00°
Space group P2/m (No. 10)
One atom of each set of equivalent atoms:
Mg1 0.000 0.000 0.000 x1
In1 0.254 0.500 0.746 x2
Se1 0.500 0.000 0.500 x1

***

Tell me which of them is the least stable. Sure, it is ii.

***

i | The following is a PBE-GGA calculation of MgIn2Se after structural relaxation, from the Alexandria database.

Computed properties:
ρ (Mg/m³): 5.29
Magnetic moment (μB/atom): 0.000

a = 3.714 Å, b = 3.736 Å, c = 7.532 Å
α = 90.00°, β = 90.03°, γ = 90.00°
Space group Pm (No. 6)
One atom of each set of equivalent atoms:
Mg1 0.000 0.000 0.000 x1
In1 0.002 0.000 0.445 x1
In2 0.501 0.500 0.686 x1
Se1 0.500 0.500 0.070 x1

***

ii | The following is a PBE-GGA calculation of MgIn2Se after structural relaxation, from the Alexandria database.

Computed properties:
ρ (Mg/m³): 5.43
Magnetic moment (μB/atom): 0.000

a = 3.740 Å, b = 5.169 Å, c = 10.525 Å
α = 90.00°, β = 90.00°, γ = 90.00°
Space group Imm2 (No. 44)
One atom of each set of equivalent atoms:
Mg1 0.000 0.000 0.000 x2
In1 0.000 0.000 0.437 x2
In2 0.000 0.500 0.224 x2
Se1 0.000 0.500 0.678 x2

***

iii | The following is a PBE-GGA calculation of MgIn2Se after structural relaxation, from the Alexandria database.

Computed properties:
ρ (Mg/m³): 5.35
Magnetic moment (μB/atom): 0.000

a = 3.8527 Å, b = 3.8527 Å, c = 24.1249 Å
α = 90.00°, β = 90.00°, γ = 120.00°
Space group R-3m (No. 166, hexagonal axes)
One atom of each set of equivalent atoms:
Mg1 0.0000 0.0000 0.0000 x3
In1 0.0000 0.0000 0.2444 x6
Se1 0.0000 0.0000 0.5000 x3

***

iv | The following is a PBE-GGA calculation of MgIn2Se after structural relaxation, from the Alexandria database.

Computed properties:
ρ (Mg/m³): 5.55
Magnetic moment (μB/atom): 0.000

a = 7.360 Å, b = 7.360 Å, c = 7.360 Å
α = 90.00°, β = 90.00°, γ = 90.00°
Space group F-43m (No. 216)
One atom of each set of equivalent atoms:
Mg1 0.000 0.000 0.000 x4
In1 0.000 0.000 0.500 x4
In2 0.250 0.250 0.250 x4
Se1 0.250 0.250 0.750 x4

***

Tell me which of them is the least stable. Sure, it is iv.

***

i | The following is a PBE-GGA calculation of MgInSe after structural relaxation, from the Alexandria database.

Computed properties:
ρ (Mg/m³): 4.50
Magnetic moment (μB/atom): 0.000

a = 3.621 Å, b = 3.621 Å, c = 12.287 Å
α = 90.00°, β = 90.00°, γ = 90.00°
Space group I4mm (No. 107)
One atom of each set of equivalent atoms:
Mg1 0.000 0.000 0.000 x2
In1 0.000 0.000 0.301 x2
Se1 0.000 0.000 0.553 x2

***

ii | The following is a PBE-GGA calculation of MgInSe after structural relaxation, from the Alexandria database.

Computed properties:
ρ (Mg/m³): 4.74
Magnetic moment (μB/atom): 0.000

a = 3.9640 Å, b = 3.9640 Å, c = 5.6115 Å
α = 90.00°, β = 90.00°, γ = 120.00°
Space group P3m1 (No. 156)
One atom of each set of equivalent atoms:
Mg1 0.0000 0.0000 0.0000 x1
In1 0.3333 0.6667 0.6079 x1
Se1 0.6667 0.3333 0.2315 x1

***

iii | The following is a PBE-GGA calculation of MgInSe after structural relaxation, from the Alexandria database.

Computed properties:
ρ (Mg/m³): 4.47
Magnetic moment (μB/atom): 0.000

a = 6.871 Å, b = 6.871 Å, c = 6.871 Å
α = 90.00°, β = 90.00°, γ = 90.00°
Space group F-43m (No. 216)
One atom of each set of equivalent atoms:
Mg1 0.000 0.000 0.000 x4
In1 0.250 0.250 0.250 x4
Se1 0.250 0.250 0.750 x4

***

iv | The following is a PBE-GGA calculation of MgInSe after structural relaxation, from the Alexandria database.

Computed properties:
ρ (Mg/m³): 3.69
Magnetic moment (μB/atom): 0.000

a = 4.2881 Å, b = 4.2881 Å, c = 37.0232 Å
α = 90.00°, β = 90.00°, γ = 120.00°
Space group R-3m (No. 166, hexagonal axes)
One atom of each set of equivalent atoms:
Mg1 0.0000 0.0000 0.1380 x6
In1 0.0000 0.0000 0.3584 x6
Se1 0.0000 0.0000 0.2116 x6

***

Tell me which of them is the least stable. Sure, it is iii.